Entry 1:
Compound: Hf5TaFe4
Source: Alexandria via LeMat-Bulk
Functional: PBE-GGA
Structure: relaxed

a b c (Å): 3.1408 3.1408 16.5789
angles (deg): 90.00 90.00 90.00
Positions (direct):
Hf: 0.0000 0.0000 0.0000
Hf: 0.0000 0.0000 0.1894
Hf: 0.0000 0.0000 0.3786
Hf: 0.0000 0.0000 0.6214
Hf: 0.0000 0.0000 0.8106
Ta: 0.5000 0.5000 0.5000
Fe: 0.5000 0.5000 0.0944
Fe: 0.5000 0.5000 0.2830
Fe: 0.5000 0.5000 0.7170
Fe: 0.5000 0.5000 0.9056

Results
- theoretical density (g cm⁻³) = 13.17
- formation enthalpy at 0 K (eV/atom) = -0.228
- space-group type = P4/mmm
- E_tot (eV per atom) = -9.77

Entry 2:
Compound: Hf2TaFe
Source: Alexandria via LeMat-Bulk
Functional: PBE-GGA
Structure: relaxed

a b c (Å): 3.1505 3.1505 7.1832
angles (deg): 90.00 90.00 90.00
Positions (direct):
Hf: 0.0000 0.0000 0.2178
Hf: 0.0000 0.0000 0.7822
Ta: 0.5000 0.5000 0.5000
Fe: 0.5000 0.5000 0.0000

Results
- theoretical density (g cm⁻³) = 13.83
- polymorph energy (0 for the lowest one) (eV/f.u.) = 0.00
- formation enthalpy at 0 K (eV/atom) = -0.076
- space-group type = P4/mmm
- E_tot (eV per atom) = -10.13

Entry 3:
Compound: Hf5TaFe6
Source: Alexandria via LeMat-Bulk
Functional: PBE-GGA
Structure: relaxed

a b c (Å): 6.9738 6.9738 6.2558
angles (deg): 90.00 90.00 143.13
Positions (direct):
Hf: 0.0000 0.0000 0.0000
Hf: 0.3333 0.6667 0.0000
Hf: 0.3340 0.6660 0.5000
Hf: 0.6660 0.3340 0.5000
Hf: 0.6667 0.3333 0.0000
Ta: 0.0000 0.0000 0.5000
Fe: 0.1636 0.8364 0.2534
Fe: 0.1636 0.8364 0.7466
Fe: 0.5000 0.5000 0.2569
Fe: 0.5000 0.5000 0.7431
Fe: 0.8364 0.1636 0.2534
Fe: 0.8364 0.1636 0.7466

Results
- theoretical density (g cm⁻³) = 12.81
- formation enthalpy at 0 K (eV/atom) = -0.292
- space-group type = Cmmm
- E_tot (eV per atom) = -9.66

Entry 4:
Compound: HfTaFe
Source: Alexandria via LeMat-Bulk
Functional: PBE-GGA
Structure: relaxed

a b c (Å): 5.5307 5.5307 5.5307
angles (deg): 147.06 147.06 47.27
Positions (direct):
Hf: 0.0000 0.0000 0.0000
Ta: 0.3050 0.3050 0.0000
Fe: 0.6627 0.6627 0.0000

Results
- theoretical density (g cm⁻³) = 13.84
- polymorph energy (0 for the lowest one) (eV/f.u.) = 0.00
- formation enthalpy at 0 K (eV/atom) = -0.138
- space-group type = I4mm
- E_tot (eV per atom) = -10.23

Entry 5:
Compound: Hf2TaFe
Source: Alexandria via LeMat-Bulk
Functional: PBE-GGA
Structure: relaxed

a b c (Å): 4.6458 4.6458 4.6458
angles (deg): 60.00 60.00 60.00
Positions (direct):
Hf: 0.2500 0.2500 0.2500
Hf: 0.7500 0.7500 0.7500
Ta: 0.0000 0.0000 0.0000
Fe: 0.5000 0.5000 0.5000

Results
- theoretical density (g cm⁻³) = 13.91
- polymorph energy (0 for the lowest one) (eV/f.u.) = 0.82
- formation enthalpy at 0 K (eV/atom) = 0.130
- space-group type = Fm-3m
- E_tot (eV per atom) = -9.93

Entry 6:
Compound: HfTa2Fe2
Source: Alexandria via LeMat-Bulk
Functional: PBE-GGA
Structure: relaxed

a b c (Å): 7.4795 7.4795 2.8377
angles (deg): 90.00 90.00 90.00
Positions (direct):
Hf: 0.0000 0.0000 0.0000
Hf: 0.5000 0.5000 0.0000
Ta: 0.1465 0.3535 0.0000
Ta: 0.3535 0.8535 0.0000
Ta: 0.6465 0.1465 0.0000
Ta: 0.8535 0.6465 0.0000
Fe: 0.1473 0.6473 0.5000
Fe: 0.3527 0.1473 0.5000
Fe: 0.6473 0.8527 0.5000
Fe: 0.8527 0.3527 0.5000

Results
- theoretical density (g cm⁻³) = 13.64
- polymorph energy (0 for the lowest one) (eV/f.u.) = 0.77
- formation enthalpy at 0 K (eV/atom) = 0.124
- space-group type = P4/mbm
- E_tot (eV per atom) = -9.99